Record 1
A PBEsol-optimized structure of BAsCl2, computed with SCAN.

Properties
Calculated volume, Å³/cell: 76.5
Energy relative to the elements, uncorrected, meV/atom: 381.2
Total DFT energy (no corrections), eV per atom: -10.513
Space group: R-3m (166)
Total moment, μB/cell: 0.01

a = 3.0740 Å, b = 3.0740 Å, c = 9.5167 Å
α = 80.71°, β = 80.71°, γ = 60.00°
Atoms (fractional coordinates):
B1 0.0000 0.0000 0.0000
Cl1 0.9409 0.9409 0.1774
As1 0.5000 0.5000 0.5000
Cl2 0.0591 0.0591 0.8226



Record 2
A PBEsol-optimized structure of BAs2Cl, computed with SCAN.

Properties
Calculated volume, Å³/cell: 61.3
Energy relative to the elements, uncorrected, meV/atom: 1177.6
Total DFT energy (no corrections), eV per atom: -12.770
Space group: Fm-3m (225)
Total moment, μB/cell: 0.00

a = 4.4269 Å, b = 4.4269 Å, c = 4.4269 Å
α = 60.00°, β = 60.00°, γ = 60.00°
Atoms (fractional coordinates):
B1 0.0000 0.0000 0.0000
As1 0.7500 0.7500 0.7500
As2 0.2500 0.2500 0.2500
Cl1 0.5000 0.5000 0.5000



Record 3
A PBEsol-optimized structure of CoBAs2Cl, computed with SCAN.

Properties
Calculated volume, Å³/cell: 77.1
Energy relative to the elements, uncorrected, meV/atom: 979.1
Total DFT energy (no corrections), eV per atom: -13.639
Space group: P4/mmm (123)
Total moment, μB/cell: 2.13

a = 4.2160 Å, b = 4.2769 Å, c = 4.2769 Å
α = 90.00°, β = 90.00°, γ = 90.00°
Last column: magnetic moment on the atom in μB.
Atoms (fractional coordinates):
Co1 0.5000 0.5000 0.5000  2.12
As1 0.0000 0.5000 0.0000  -0.02
B1 0.0000 0.0000 0.0000  -0.01
Cl1 0.5000 0.0000 0.0000  0.03
As2 0.0000 0.0000 0.5000  -0.02



Record 4
A PBEsol-optimized structure of MgBAsCl2, computed with SCAN.

Properties
Calculated volume, Å³/cell: 86.8
Energy relative to the elements, uncorrected, meV/atom: 214.9
Total DFT energy (no corrections), eV per atom: -9.495
Space group: P4/mmm (123)
Total moment, μB/cell: 0.00

a = 4.2771 Å, b = 4.2771 Å, c = 4.7428 Å
α = 90.00°, β = 90.00°, γ = 90.00°
Atoms (fractional coordinates):
B1 0.0000 0.0000 0.0000
Cl1 0.0000 0.5000 0.0000
Mg1 0.5000 0.5000 0.5000
As1 0.0000 0.0000 0.5000
Cl2 0.5000 0.0000 0.0000



Record 5
A PBEsol-optimized structure of BSbAsCl2, computed with SCAN.

Properties
Calculated volume, Å³/cell: 90.4
Energy relative to the elements, uncorrected, meV/atom: 524.4
Total DFT energy (no corrections), eV per atom: -15.643
Space group: P4/mmm (123)
Total moment, μB/cell: 0.00

a = 4.2336 Å, b = 4.2336 Å, c = 5.0426 Å
α = 90.00°, β = 90.00°, γ = 90.00°
Atoms (fractional coordinates):
Sb1 0.0000 0.0000 0.5000
As1 0.5000 0.5000 0.5000
Cl1 0.0000 0.5000 0.0000
Cl2 0.5000 0.0000 0.0000
B1 0.0000 0.0000 0.0000



Record 6
A PBEsol-optimized structure of CoB3As, computed with SCAN.

Properties
ΔE_f, eV per atom: 1.188
Calculated volume, Å³/cell: 54.6
Total DFT energy (no corrections), eV per atom: -10.768
Space group: Pm-3m (221)
Total moment, μB/cell: 0.00

a = 3.7929 Å, b = 3.7929 Å, c = 3.7929 Å
α = 90.00°, β = 90.00°, γ = 90.00°
Atoms (fractional coordinates):
B1 0.5000 0.0000 0.0000
As1 0.5000 0.5000 0.5000
Co1 0.0000 0.0000 0.0000
B2 0.0000 0.0000 0.5000
B3 0.0000 0.5000 0.0000



Record 7
A PBEsol-optimized structure of Na2CoBAsO7, computed with SCAN.

Properties
Calculated volume, Å³/cell: 309.6
Energy relative to the elements, uncorrected, meV/atom: -1707.9
Total DFT energy (no corrections), eV per atom: -9.789
Space group: P2_1/m (11)
Total moment, μB/cell: 2.10

a = 5.3556 Å, b = 6.2998 Å, c = 9.2023 Å
α = 90.00°, β = 94.32°, γ = 90.00°
Last column: magnetic moment on the atom in μB.
Atoms (fractional coordinates):
Na1 0.7643 0.0009 0.2100  0.00
O1 0.5426 0.2500 0.7893  0.10
O2 0.1888 0.4552 0.3226  0.04
Na2 0.2357 0.9991 0.7900  0.00
O3 0.1239 0.2500 0.5942  0.02
O4 0.0479 0.7500 0.1502  -0.05
Na3 0.2357 0.5009 0.7900  0.00
O5 0.6018 0.2500 0.4757  0.00
Co1 0.7890 0.2500 0.6635  0.80
Na4 0.7643 0.4991 0.2100  0.00
O6 0.9521 0.2500 0.8498  -0.05
O7 0.4574 0.7500 0.2107  0.10
O8 0.3982 0.7500 0.5243  0.00
O9 0.6727 0.2500 0.0491  0.05
B1 0.7212 0.2500 0.9120  -0.01
O10 0.8761 0.7500 0.4058  0.02
O11 0.1888 0.0448 0.3226  0.04
O12 0.8112 0.5448 0.6774  0.04
As1 0.7204 0.7500 0.5604  -0.01
Co2 0.2110 0.7500 0.3365  0.80
O13 0.8112 0.9552 0.6774  0.04
B2 0.2788 0.7500 0.0880  -0.01
As2 0.2796 0.2500 0.4396  -0.01
O14 0.3273 0.7500 0.9509  0.05



Record 8
A PBEsol-optimized structure of Na3CoBAsO7, computed with SCAN.

Properties
Calculated volume, Å³/cell: 301.3
Energy relative to the elements, uncorrected, meV/atom: -1907.1
Total DFT energy (no corrections), eV per atom: -9.691
Space group: P2_1/m (11)
Total moment, μB/cell: 0.15

a = 5.2313 Å, b = 6.3852 Å, c = 9.0293 Å
α = 90.00°, β = 92.71°, γ = 90.00°
Last column: magnetic moment on the atom in μB.
Atoms (fractional coordinates):
O1 0.6852 0.5000 0.0740  0.00
Na1 0.2468 0.7550 0.7499  0.00
Na2 0.2325 0.5000 0.0753  0.00
O2 0.3147 0.0000 0.9260  0.00
Na3 0.7530 0.2550 0.2501  0.00
Na4 0.7530 0.7450 0.2501  0.00
As1 0.7170 0.0000 0.5703  0.00
O3 0.5307 0.5000 0.8150  0.00
O4 0.2074 0.7018 0.3071  0.00
O5 0.6084 0.5000 0.4755  0.00
O6 0.7925 0.7982 0.6929  0.00
O7 0.2074 0.2982 0.3071  0.00
As2 0.2829 0.5000 0.4297  0.00
O8 0.7925 0.2018 0.6929  0.00
Na5 0.2468 0.2450 0.7499  0.00
Na6 0.7673 0.0000 0.9247  0.00
Co1 0.7835 0.5000 0.6726  0.06
O9 0.9591 0.5000 0.8629  0.00
O10 0.1171 0.5000 0.5866  0.00
O11 0.3915 0.0000 0.5246  0.00
O12 0.4691 0.0000 0.1851  0.00
O13 0.8827 0.0000 0.4134  0.00
Co2 0.2164 0.0000 0.3274  0.06
B1 0.7217 0.5000 0.9282  0.00
B2 0.2782 0.0000 0.0718  0.00
O14 0.0408 0.0000 0.1371  0.00



Record 9
A PBEsol-optimized structure of CrBAs2Se, computed with SCAN.

Properties
Calculated volume, Å³/cell: 96.7
Energy relative to the elements, uncorrected, meV/atom: 1177.8
Total DFT energy (no corrections), eV per atom: -16.077
Space group: P4/mmm (123)
Total moment, μB/cell: 1.52

a = 4.5435 Å, b = 4.5435 Å, c = 4.6850 Å
α = 90.00°, β = 90.00°, γ = 90.00°
Last column: magnetic moment on the atom in μB.
Atoms (fractional coordinates):
As1 0.0000 0.5000 0.0000  -0.20
Cr1 0.0000 0.0000 0.0000  1.88
Se1 0.0000 0.0000 0.5000  -0.04
B1 0.5000 0.5000 0.5000  0.10
As2 0.5000 0.0000 0.0000  -0.20



Record 10
A PBEsol-optimized structure of CrB2AsSe, computed with SCAN.

Properties
Calculated volume, Å³/cell: 80.4
Energy relative to the elements, uncorrected, meV/atom: 1204.3
Total DFT energy (no corrections), eV per atom: -13.498
Space group: P4/mmm (123)
Total moment, μB/cell: 3.97

a = 4.0110 Å, b = 4.0110 Å, c = 4.9966 Å
α = 90.00°, β = 90.00°, γ = 90.00°
Last column: magnetic moment on the atom in μB.
Atoms (fractional coordinates):
As1 0.0000 0.0000 0.0000  -0.04
B1 0.0000 0.5000 0.0000  0.00
Cr1 0.0000 0.0000 0.5000  3.80
B2 0.5000 0.0000 0.0000  0.00
Se1 0.5000 0.5000 0.5000  -0.05



Record 11
A PBEsol-optimized structure of Cs3BAsP, computed with SCAN.

Properties
ΔE_f, eV per atom: -0.535
Calculated volume, Å³/cell: 438.0
Total DFT energy (no corrections), eV per atom: -25.777
Space group: Cc (9)
Total moment, μB/cell: 0.00

a = 6.8872 Å, b = 6.8872 Å, c = 9.8334 Å
α = 75.83°, β = 75.83°, γ = 89.02°
Atoms (fractional coordinates):
P1 0.4067 0.8395 0.8536
Cs1 0.8479 0.7414 0.9800
Cs2 0.6522 0.3433 0.7462
Cs3 0.1500 0.2546 0.0169
As1 0.1648 0.5933 0.6443
Cs4 0.2546 0.1500 0.5169
B1 0.7173 0.2920 0.2529
Cs5 0.3433 0.6522 0.2462
P2 0.8395 0.4067 0.3536
As2 0.5933 0.1648 0.1443
Cs6 0.7414 0.8479 0.4800
B2 0.2920 0.7173 0.7529



Record 12
A PBEsol-optimized structure of CsBAs2Se, computed with SCAN.

Properties
Calculated volume, Å³/cell: 184.7
Energy relative to the elements, uncorrected, meV/atom: 2482.9
Total DFT energy (no corrections), eV per atom: -18.657
Space group: P4/mmm (123)
Total moment, μB/cell: 2.54

a = 5.7258 Å, b = 5.7258 Å, c = 5.6339 Å
α = 90.00°, β = 90.00°, γ = 90.00°
Last column: magnetic moment on the atom in μB.
Atoms (fractional coordinates):
As1 0.0000 0.5000 0.0000  0.57
Se1 0.0000 0.0000 0.5000  0.20
As2 0.5000 0.0000 0.0000  0.57
Cs1 0.0000 0.0000 0.0000  0.01
B1 0.5000 0.5000 0.5000  -0.11



Record 13
A PBEsol-optimized structure of CsBAs2W, computed with SCAN.

Properties
ΔE_f, eV per atom: 1.928
Calculated volume, Å³/cell: 98.3
Total DFT energy (no corrections), eV per atom: -29.134
Space group: P4/mmm (123)
Total moment, μB/cell: 3.27

a = 4.5219 Å, b = 4.5219 Å, c = 4.8053 Å
α = 90.00°, β = 90.00°, γ = 90.00°
Last column: magnetic moment on the atom in μB.
Atoms (fractional coordinates):
W1 0.5000 0.5000 0.5000  2.83
B1 0.0000 0.0000 0.0000  -0.05
As1 0.0000 0.5000 0.0000  -0.16
Cs1 0.0000 0.0000 0.5000  0.06
As2 0.5000 0.0000 0.0000  -0.16



Record 14
A PBEsol-optimized structure of InCuB2As, computed with SCAN.

Properties
ΔE_f, eV per atom: 1.050
Calculated volume, Å³/cell: 79.7
Total DFT energy (no corrections), eV per atom: -15.677
Space group: P4/mmm (123)
Total moment, μB/cell: 0.00

a = 3.8594 Å, b = 3.8594 Å, c = 5.3508 Å
α = 90.00°, β = 90.00°, γ = 90.00°
Atoms (fractional coordinates):
B1 0.0000 0.5000 0.0000
As1 0.0000 0.0000 0.5000
B2 0.5000 0.0000 0.0000
In1 0.5000 0.5000 0.5000
Cu1 0.0000 0.0000 0.0000



Record 15
A PBEsol-optimized structure of Li2CuBAs, computed with SCAN.

Properties
ΔE_f, eV per atom: 0.243
Calculated volume, Å³/cell: 66.6
Total DFT energy (no corrections), eV per atom: -9.277
Space group: P4/mmm (123)
Total moment, μB/cell: 0.00

a = 3.7960 Å, b = 4.1901 Å, c = 4.1901 Å
α = 90.00°, β = 90.00°, γ = 90.00°
Atoms (fractional coordinates):
As1 0.5000 0.5000 0.5000
Li1 0.0000 0.0000 0.5000
Cu1 0.5000 0.0000 0.0000
Li2 0.0000 0.5000 0.0000
B1 0.0000 0.0000 0.0000



Record 16
A PBEsol-optimized structure of Na3CuBAsO7, computed with SCAN.

Properties
Calculated volume, Å³/cell: 317.1
Energy relative to the elements, uncorrected, meV/atom: -1747.7
Total DFT energy (no corrections), eV per atom: -9.369
Space group: P2_1/m (11)
Total moment, μB/cell: 3.86

a = 5.1618 Å, b = 6.8826 Å, c = 8.9310 Å
α = 90.00°, β = 91.80°, γ = 90.00°
Last column: magnetic moment on the atom in μB.
Atoms (fractional coordinates):
As1 0.7145 0.7500 0.5784  0.01
Na1 0.7671 0.7500 0.9217  0.00
O1 0.2142 0.0575 0.3056  0.12
Na2 0.2329 0.2500 0.0783  0.00
O2 0.4760 0.7500 0.1738  0.23
B1 0.7247 0.2500 0.9337  -0.02
O3 0.7858 0.9425 0.6944  0.12
O4 0.8694 0.7500 0.4129  0.05
O5 0.1306 0.2500 0.5871  0.05
O6 0.0374 0.7500 0.1351  0.22
As2 0.2855 0.2500 0.4216  0.01
O7 0.6955 0.2500 0.0824  0.05
Na3 0.7476 0.4963 0.2552  0.00
O8 0.6146 0.2500 0.4670  0.07
O9 0.9626 0.2500 0.8649  0.22
O10 0.3854 0.7500 0.5330  0.07
O11 0.2142 0.4425 0.3056  0.12
O12 0.7858 0.5575 0.6944  0.12
B2 0.2753 0.7500 0.0663  -0.02
O13 0.3045 0.7500 0.9176  0.05
Na4 0.2524 0.5037 0.7448  0.00
O14 0.5240 0.2500 0.8262  0.23
Cu1 0.7834 0.2500 0.6683  0.98
Cu2 0.2166 0.7500 0.3317  0.98
Na5 0.2524 0.9963 0.7448  0.00
Na6 0.7476 0.0037 0.2552  0.00



Record 17
A PBEsol-optimized structure of CuNiB2As, computed with SCAN.

Properties
ΔE_f, eV per atom: 0.803
Calculated volume, Å³/cell: 66.2
Total DFT energy (no corrections), eV per atom: -12.482
Space group: P4/mmm (123)
Total moment, μB/cell: 0.00

a = 3.6608 Å, b = 3.6608 Å, c = 4.9368 Å
α = 90.00°, β = 90.00°, γ = 90.00°
Atoms (fractional coordinates):
Cu1 0.5000 0.5000 0.5000
As1 0.0000 0.0000 0.5000
B1 0.5000 0.0000 0.0000
Ni1 0.0000 0.0000 0.0000
B2 0.0000 0.5000 0.0000



Record 18
A PBEsol-optimized structure of Mg2BAsF, computed with SCAN.

Properties
Calculated volume, Å³/cell: 78.2
Energy relative to the elements, uncorrected, meV/atom: 50.1
Total DFT energy (no corrections), eV per atom: -8.171
Space group: P4/mmm (123)
Total moment, μB/cell: 0.00

a = 4.0125 Å, b = 4.0125 Å, c = 4.8593 Å
α = 90.00°, β = 90.00°, γ = 90.00°
Atoms (fractional coordinates):
B1 0.5000 0.5000 0.5000
Mg1 0.0000 0.5000 0.0000
F1 0.0000 0.0000 0.0000
Mg2 0.5000 0.0000 0.0000
As1 0.0000 0.0000 0.5000



Record 19
A PBEsol-optimized structure of BAsOF2, computed with SCAN.

Properties
Calculated volume, Å³/cell: 53.1
Energy relative to the elements, uncorrected, meV/atom: -1124.4
Total DFT energy (no corrections), eV per atom: -9.311
Space group: P4/mmm (123)
Total moment, μB/cell: 0.00

a = 2.6116 Å, b = 4.5075 Å, c = 4.5075 Å
α = 90.00°, β = 90.00°, γ = 90.00°
Atoms (fractional coordinates):
F1 0.0000 0.0000 0.5000
B1 0.0000 0.0000 0.0000
F2 0.0000 0.5000 0.0000
As1 0.5000 0.5000 0.5000
O1 0.5000 0.0000 0.0000



Record 20
A PBEsol-optimized structure of FeB2As, computed with SCAN.

Properties
ΔE_f, eV per atom: 0.602
Calculated volume, Å³/cell: 98.9
Total DFT energy (no corrections), eV per atom: -12.693
Space group: I-42d (122)
Total moment, μB/cell: 3.22

a = 4.6701 Å, b = 4.6701 Å, c = 5.6099 Å
α = 114.60°, β = 114.60°, γ = 90.00°
Last column: magnetic moment on the atom in μB.
Atoms (fractional coordinates):
As1 0.0000 0.0000 0.0000  0.05
B1 0.6250 0.6038 0.7500  -0.14
B2 0.3962 0.8750 0.2500  -0.14
Fe1 0.5000 0.5000 0.0000  1.89
B3 0.8538 0.3750 0.2500  -0.14
Fe2 0.7500 0.2500 0.5000  1.89
As2 0.2500 0.7500 0.5000  0.05
B4 0.1250 0.1462 0.7500  -0.14